Here is LiErMnGa after structural relaxation from the Alexandria database. Energies are from GGA-PBE.

## Properties
energy of formation from the pure elements: -31 kJ/mol of formula units
E: -4.749 eV per atom

a = 4.647 Å, b = 4.647 Å, c = 4.647 Å
α = 60.00°, β = 60.00°, γ = 60.00°
Element x y z (fractional)
Li 0.000 0.000 0.000
Er 0.750 0.750 0.750
Mn 0.500 0.500 0.500
Ga 0.250 0.250 0.250